Record 1
Computed, not measured: a relaxed structure of LaSmNi at the PBE-GGA level of DFT.

CIF file:
```
data_LaSmNi
_chemical_formula_sum 'La1 Sm1 Ni1'
_space_group_name_H-M_alt 'P 3 m 1'
_space_group_IT_number 156
_cell_length_a 3.7507
_cell_length_b 3.7507
_cell_length_c 7.4237
_cell_angle_alpha 90.00
_cell_angle_beta 90.00
_cell_angle_gamma 120.00
loop_
_space_group_symop_operation_xyz
'x,y,z'
'-y,x-y,z'
'-x+y,-x,z'
'-y,-x,z'
'-x+y,y,z'
'x,x-y,z'
loop_
_atom_site_label
_atom_site_fract_x
_atom_site_fract_y
_atom_site_fract_z
La1 0.0000 0.0000 0.0000
Sm1 0.3333 0.6667 0.4227
Ni1 0.3333 0.6667 0.7813
```

Properties
Final energy   -14.57 eV/cell
V   90.4 Å³/f.u.
Fermi-level density of states   4.03 states/eV per cell
Energy of formation from the pure elements   0.285 eV/atom
Energy above the lowest structure with this stoichiometry   42.8 kJ per mole of atoms



Record 2
Computed, not measured: a relaxed structure of InCuTc2 at the PBE-GGA level of DFT.

CIF file:
```
data_InCuTc2
_chemical_formula_sum 'In2 Cu2 Tc4'
_space_group_name_H-M_alt 'C 1 2/m 1'
_space_group_IT_number 12
_cell_length_a 9.477
_cell_length_b 3.085
_cell_length_c 4.441
_cell_angle_alpha 90.00
_cell_angle_beta 105.60
_cell_angle_gamma 90.00
loop_
_space_group_symop_operation_xyz
'x,y,z'
'-x,-y,-z'
'-x,y,-z'
'x,-y,z'
'x+1/2,y+1/2,z'
'-x+1/2,-y+1/2,-z'
'-x+1/2,y+1/2,-z'
'x+1/2,-y+1/2,z'
loop_
_atom_site_label
_atom_site_fract_x
_atom_site_fract_y
_atom_site_fract_z
In1 0.000 0.000 0.000
Cu1 0.000 0.500 0.500
Tc1 0.242 0.000 0.723
```

Properties
Final energy   -52.52 eV/cell
V   62.5 Å³/f.u.
Fermi-level density of states   7.60 states/eV per cell
Energy of formation from the pure elements   0.326 eV/atom



Record 3
Computed, not measured: a relaxed structure of Y2MgCu3Ge4 at the PBE-GGA level of DFT.

CIF file:
```
data_Y2MgCu3Ge4
_chemical_formula_sum 'Y2 Mg1 Cu3 Ge4'
_space_group_name_H-M_alt 'P -4 m 2'
_space_group_IT_number 115
_cell_length_a 4.091
_cell_length_b 4.091
_cell_length_c 10.811
_cell_angle_alpha 90.00
_cell_angle_beta 90.00
_cell_angle_gamma 90.00
loop_
_space_group_symop_operation_xyz
'x,y,z'
'y,-x,-z'
'-x,-y,z'
'-y,x,-z'
'-x,y,z'
'-y,-x,-z'
'x,-y,z'
'y,x,-z'
loop_
_atom_site_label
_atom_site_fract_x
_atom_site_fract_y
_atom_site_fract_z
Y1 0.000 0.500 0.241
Mg1 0.000 0.000 0.500
Cu1 0.000 0.500 0.868
Cu2 0.500 0.500 0.500
Ge1 0.000 0.000 0.000
Ge2 0.000 0.500 0.650
Ge3 0.500 0.500 0.000
```

Properties
Final energy   -50.01 eV/cell
V   180.9 Å³/f.u.
Fermi-level density of states   1.69 states/eV per cell
Energy of formation from the pure elements   -0.473 eV/atom